1.
MnFe3: PBEsol geometry, SCAN.

Results
The calculation puts the formation enthalpy at 0 K at 0.383 eV per atom. The crystal system is hexagonal.

a = 2.4302 Å, b = 2.4302 Å, c = 7.7271 Å
α = 90.00°, β = 90.00°, γ = 120.00°
Space group P-6m2 (No. 187)
Symmetry-distinct sites (fractional):
Mn1 0.0000 0.0000 0.0000
Fe1 0.0000 0.0000 0.5000
Fe2 0.6667 0.3333 0.2509

2.
Ba3CaIr2O9: PBEsol geometry, SCAN.

Results
As for the energy above the most stable polymorph in this dataset: 5 meV/atom. For the uncorrected formation energy, the calculation gives -32.66 eV/f.u. The crystal system is monoclinic.

a = 5.879 Å, b = 10.166 Å, c = 14.559 Å
α = 90.00°, β = 91.16°, γ = 90.00°
Space group C2/c (No. 15)
Symmetry-distinct sites (fractional):
Ba1 0.000 0.002 0.250
Ba2 0.004 0.333 0.587
Ca1 0.000 0.000 0.000
Ir1 0.008 0.334 0.163
O1 0.000 0.491 0.250
O2 0.015 0.179 0.088
O3 0.216 0.411 0.418
O4 0.235 0.256 0.256
O5 0.248 0.411 0.093

3.
Na2GeTeO6: PBEsol geometry, SCAN.

Results
For the uncorrected formation energy, the calculation gives -16.93 eV/f.u. The crystal system is trigonal.

a = 5.1287 Å, b = 5.1287 Å, c = 10.6643 Å
α = 90.00°, β = 90.00°, γ = 120.00°
Space group P-31c (No. 163)
Symmetry-distinct sites (fractional):
Na1 0.3333 0.6667 0.0394
Ge1 0.3333 0.6667 0.7500
Te1 0.0000 0.0000 0.2500
O1 0.0550 0.3395 0.6472

4.
CaHgF3: PBEsol geometry, SCAN.

Results
For the uncorrected formation energy, the calculation gives -9.41 eV/f.u. The crystal system is cubic.

a = 4.582 Å, b = 4.582 Å, c = 4.582 Å
α = 90.00°, β = 90.00°, γ = 90.00°
Space group Pm-3m (No. 221)
Symmetry-distinct sites (fractional):
Ca1 0.000 0.000 0.000
Hg1 0.500 0.500 0.500
F1 0.000 0.500 0.500

5.
CdOs3: PBEsol geometry, SCAN.

Results
The calculation puts the formation enthalpy at 0 K at 0.597 eV per atom. As for the energy above the most stable polymorph in this dataset: 12 meV/atom. The crystal system is monoclinic.

a = 9.185 Å, b = 2.756 Å, c = 4.837 Å
α = 90.00°, β = 99.63°, γ = 90.00°
Space group C2/m (No. 12)
Symmetry-distinct sites (fractional):
Cd1 0.000 0.000 0.000
Os1 0.000 0.500 0.500
Os2 0.238 0.000 0.728

6.
LiSeNO2: PBEsol geometry, SCAN.

Results
For the uncorrected formation energy, the calculation gives 0.34 eV/f.u. The crystal system is tetragonal.

a = 3.795 Å, b = 3.795 Å, c = 3.646 Å
α = 90.00°, β = 90.00°, γ = 90.00°
Space group P4/mmm (No. 123)
Symmetry-distinct sites (fractional):
Li1 0.000 0.000 0.000
Se1 0.500 0.500 0.500
N1 0.500 0.500 0.000
O1 0.000 0.500 0.500

7.
SiRu2Cl: PBEsol geometry, SCAN.

Results
As for the energy above the most stable polymorph in this dataset: 616 meV/atom. For the uncorrected formation energy, the calculation gives 3.44 eV/f.u. The crystal system is cubic.

a = 6.095 Å, b = 6.095 Å, c = 6.095 Å
α = 90.00°, β = 90.00°, γ = 90.00°
Space group F-43m (No. 216)
Symmetry-distinct sites (fractional):
Si1 0.000 0.000 0.000
Ru1 0.000 0.000 0.500
Ru2 0.250 0.250 0.250
Cl1 0.250 0.250 0.750

8.
Tc2PAu: PBEsol geometry, SCAN.

Results
The calculation puts the formation enthalpy at 0 K at -0.138 eV per atom. The crystal system is tetragonal.

a = 2.901 Å, b = 2.901 Å, c = 6.606 Å
α = 90.00°, β = 90.00°, γ = 90.00°
Space group P4/mmm (No. 123)
Symmetry-distinct sites (fractional):
Tc1 0.000 0.000 0.200
P1 0.500 0.500 0.000
Au1 0.500 0.500 0.500

Number 1: density 9.348 Mg/m³. Number 2: density 7.486 Mg/m³. Number 3: density 4.678 Mg/m³. Number 4: density 5.138 Mg/m³. Number 5: density 18.795 Mg/m³. Number 6: density 4.172 Mg/m³. Number 7: density 7.795 Mg/m³. Number 8: density 12.666 Mg/m³.